! KW3O9, relaxed, DFT PBE with a Hubbard U; values from VASP
! VASP energy in eV/atom: -7.226
! Spin magnetization in μB/f.u.: 0.756
! Calculated volume in Å³ per atom: 14.6
! Symmetry: No. 183
&SYSTEM
  ibrav = 0, nat = 13, ntyp = 3
/
ATOMIC_SPECIES
O 16.00 O.upf
W 183.84 W.upf
K 39.10 K.upf
CELL_PARAMETERS angstrom
7.521 0.000 0.000
-3.760 6.513 0.000
0.000 0.000 3.881
ATOMIC_POSITIONS crystal
O 0.420 0.210 0.501
O 0.000 0.500 0.000
W 0.500 0.000 0.499
O 0.790 0.210 0.501
O 0.210 0.420 0.501
W 0.000 0.500 0.499
K 0.000 0.000 0.900
O 0.500 0.500 0.000
O 0.210 0.790 0.501
W 0.500 0.500 0.499
O 0.790 0.580 0.501
O 0.580 0.790 0.501
O 0.500 0.000 0.000